GGA+U Mn2NbO2, optimized geometry; magnetization = 6.988 μB per formula unit; symmetry = No. 139; excess energy over the best structure of this formula in the dataset = 0 meV/atom; energy = -7.401 eV per atom
1.0
-1.914 1.914 4.625
1.914 -1.914 4.625
1.914 1.914 -4.625
Mn Nb O
2 1 2
Direct
0.150 0.150 0.000 Mn
0.850 0.850 0.000 Mn
0.500 0.500 0.000 Nb
0.250 0.750 0.500 O
0.750 0.250 0.500 O